A plane-wave DFT calculation with PBE was carried out for an optimized crystal structure of NdDy4Tm6.

Calculated values
SG: Cmcm (63)
Formation energy in eV per atom: 0.12
Offset from the most stable computed form in meV/atom: 0
Total magnetization in μB per cell: 0.00
Energy in eV/atom: -4.43

Lattice parameters (Å, degrees): 5.574 5.574 25.486 90.00 90.00 119.69
Atoms (fractional coordinates):
Nd1 0.170 0.830 0.750
Nd2 0.830 0.170 0.250
Dy1 0.165 0.835 0.042
Dy2 0.165 0.835 0.458
Dy3 0.494 0.506 0.121
Dy4 0.494 0.506 0.379
Dy5 0.506 0.494 0.621
Dy6 0.506 0.494 0.879
Dy7 0.835 0.165 0.542
Dy8 0.835 0.165 0.958
Tm1 0.162 0.838 0.181
Tm2 0.162 0.838 0.319
Tm3 0.171 0.829 0.602
Tm4 0.171 0.829 0.898
Tm5 0.496 0.504 0.250
Tm6 0.500 0.500 0.000
Tm7 0.500 0.500 0.500
Tm8 0.504 0.496 0.750
Tm9 0.829 0.171 0.102
Tm10 0.829 0.171 0.398
Tm11 0.838 0.162 0.681
Tm12 0.838 0.162 0.819

A plane-wave DFT calculation with PBE was carried out for an optimized crystal structure of Nd2Dy2Tm3.

Calculated values
SG: I2_13 (199)
Formation energy in eV per atom: 0.22
Offset from the most stable computed form in meV/atom: 86
Total magnetization in μB per cell: 0.00
Energy in eV/atom: -4.37

Lattice parameters (Å, degrees): 8.402 8.402 8.402 109.47 109.47 109.47
Atoms (fractional coordinates):
Nd1 0.000 0.814 0.500
Nd2 0.500 0.000 0.814
Nd3 0.686 0.686 0.686
Nd4 0.814 0.500 0.000
Dy1 0.000 0.417 0.500
Dy2 0.083 0.083 0.083
Dy3 0.417 0.500 0.000
Dy4 0.500 0.000 0.417
Tm1 0.196 0.750 0.946
Tm2 0.250 0.554 0.304
Tm3 0.304 0.250 0.554
Tm4 0.554 0.304 0.250
Tm5 0.750 0.946 0.196
Tm6 0.946 0.196 0.750

A plane-wave DFT calculation with PBE was carried out for an optimized crystal structure of Nd5Dy2Tm12.

Calculated values
SG: P-1 (2)
Formation energy in eV per atom: 0.02
Offset from the most stable computed form in meV/atom: 0
Total magnetization in μB per cell: 0.00
Energy in eV/atom: -4.54

Lattice parameters (Å, degrees): 6.136 9.389 10.624 78.95 84.37 90.00
Atoms (fractional coordinates):
Nd1 0.000 0.000 0.000
Nd2 0.159 0.632 0.053
Nd3 0.263 0.054 0.421
Nd4 0.737 0.946 0.579
Nd5 0.841 0.368 0.947
Dy1 0.420 0.682 0.474
Dy2 0.580 0.318 0.526
Tm1 0.054 0.213 0.683
Tm2 0.104 0.422 0.369
Tm3 0.211 0.840 0.737
Tm4 0.317 0.263 0.105
Tm5 0.369 0.473 0.788
Tm6 0.475 0.894 0.158
Tm7 0.525 0.106 0.842
Tm8 0.631 0.527 0.212
Tm9 0.683 0.737 0.895
Tm10 0.789 0.160 0.263
Tm11 0.896 0.578 0.631
Tm12 0.946 0.787 0.317

- Which formula does entry 1 have?
  NdDy4Tm6